MnCr2Ni after structural relaxation. Source: Alexandria, functional PBE.

```
data_MnCr2Ni
_symmetry_space_group_name_H-M 'P 1'
_symmetry_Int_Tables_number 1
_cell_length_a 4.343
_cell_length_b 4.343
_cell_length_c 4.444
_cell_angle_alpha 97.70
_cell_angle_beta 97.70
_cell_angle_gamma 32.98
loop_
_symmetry_equiv_pos_as_xyz
'x,y,z'
loop_
_atom_site_label
_atom_site_fract_x
_atom_site_fract_y
_atom_site_fract_z
_atom_site_occupancy
Mn1 0.000 0.000 0.000 1
Cr1 0.510 0.510 0.512 1
Cr2 0.752 0.752 0.239 1
Ni1 0.256 0.256 0.743 1
```

Results
Crystal system = monoclinic
Symmetry = Cm
Formation energy from the elements = 13.5 kJ per mole of atoms


TlCuPS2 after structural relaxation. Source: Alexandria, functional PBE.

```
data_TlCuPS2
_symmetry_space_group_name_H-M 'P 1'
_symmetry_Int_Tables_number 1
_cell_length_a 6.325
_cell_length_b 6.891
_cell_length_c 5.211
_cell_angle_alpha 90.00
_cell_angle_beta 114.11
_cell_angle_gamma 90.00
loop_
_symmetry_equiv_pos_as_xyz
'x,y,z'
loop_
_atom_site_label
_atom_site_fract_x
_atom_site_fract_y
_atom_site_fract_z
_atom_site_occupancy
Tl1 0.000 0.204 0.250 1
Tl2 0.000 0.796 0.750 1
Cu1 0.500 0.500 0.250 1
Cu2 0.500 0.500 0.750 1
P1 0.500 0.000 0.000 1
P2 0.500 0.000 0.500 1
S1 0.291 0.291 0.897 1
S2 0.291 0.709 0.397 1
S3 0.709 0.291 0.603 1
S4 0.709 0.709 0.103 1
```

Results
E_form (uncorrected) = 2.0 kJ per mole of atoms
Crystal system = monoclinic
Symmetry = P2/c
Energy relative to the lowest polymorph listed for this composition = 0.00 eV/f.u.


ZrAg3B after structural relaxation. Source: Alexandria, functional PBE.

```
data_ZrAg3B
_symmetry_space_group_name_H-M 'P 1'
_symmetry_Int_Tables_number 1
_cell_length_a 5.330
_cell_length_b 5.330
_cell_length_c 5.330
_cell_angle_alpha 90.00
_cell_angle_beta 90.00
_cell_angle_gamma 90.00
loop_
_symmetry_equiv_pos_as_xyz
'x,y,z'
loop_
_atom_site_label
_atom_site_fract_x
_atom_site_fract_y
_atom_site_fract_z
_atom_site_occupancy
Zr1 0.000 0.000 0.000 1
Ag1 0.000 0.000 0.500 1
Ag2 0.000 0.500 0.000 1
Ag3 0.500 0.000 0.000 1
B1 0.500 0.500 0.500 1
```

Results
Crystal system = cubic
Symmetry = Pm-3m
Energy relative to the lowest polymorph listed for this composition = 8.27 eV/f.u.
Formation energy from the elements = 201.9 kJ per mole of atoms


YCd2TcO6 after structural relaxation. Source: Alexandria, functional PBE.

```
data_YCd2TcO6
_symmetry_space_group_name_H-M 'P 1'
_symmetry_Int_Tables_number 1
_cell_length_a 5.729
_cell_length_b 5.729
_cell_length_c 4.633
_cell_angle_alpha 90.00
_cell_angle_beta 90.00
_cell_angle_gamma 90.00
loop_
_symmetry_equiv_pos_as_xyz
'x,y,z'
loop_
_atom_site_label
_atom_site_fract_x
_atom_site_fract_y
_atom_site_fract_z
_atom_site_occupancy
Y1 0.000 0.000 0.000 1
Cd1 0.000 0.500 0.367 1
Cd2 0.500 0.000 0.367 1
Tc1 0.500 0.500 0.961 1
O1 0.000 0.000 0.531 1
O2 0.275 0.275 0.103 1
O3 0.275 0.725 0.103 1
O4 0.500 0.500 0.592 1
O5 0.725 0.275 0.103 1
O6 0.725 0.725 0.103 1
```

Results
E_form (uncorrected) = -152.8 kJ per mole of atoms
Crystal system = tetragonal
Symmetry = P4mm


ZrMnSbRu after structural relaxation. Source: Alexandria, functional PBE.

```
data_ZrMnSbRu
_symmetry_space_group_name_H-M 'P 1'
_symmetry_Int_Tables_number 1
_cell_length_a 4.512
_cell_length_b 4.512
_cell_length_c 4.512
_cell_angle_alpha 60.00
_cell_angle_beta 60.00
_cell_angle_gamma 60.00
loop_
_symmetry_equiv_pos_as_xyz
'x,y,z'
loop_
_atom_site_label
_atom_site_fract_x
_atom_site_fract_y
_atom_site_fract_z
_atom_site_occupancy
Zr1 0.000 0.000 0.000 1
Mn1 0.250 0.250 0.250 1
Sb1 0.500 0.500 0.500 1
Ru1 0.750 0.750 0.750 1
```

Results
E_form (uncorrected) = -29.0 kJ per mole of atoms
Crystal system = cubic
Symmetry = F-43m


Y6Sb5Se after structural relaxation. Source: Alexandria, functional PBE.

```
data_Y6Sb5Se
_symmetry_space_group_name_H-M 'P 1'
_symmetry_Int_Tables_number 1
_cell_length_a 7.521
_cell_length_b 7.521
_cell_length_c 7.523
_cell_angle_alpha 99.60
_cell_angle_beta 99.60
_cell_angle_gamma 119.95
loop_
_symmetry_equiv_pos_as_xyz
'x,y,z'
loop_
_atom_site_label
_atom_site_fract_x
_atom_site_fract_y
_atom_site_fract_z
_atom_site_occupancy
Y1 0.082 0.410 0.747 1
Y2 0.245 0.245 0.250 1
Y3 0.410 0.082 0.747 1
Y4 0.590 0.918 0.253 1
Y5 0.755 0.755 0.750 1
Y6 0.918 0.590 0.253 1
Sb1 0.169 0.831 0.000 1
Sb2 0.334 0.666 0.500 1
Sb3 0.500 0.500 0.000 1
Sb4 0.666 0.334 0.500 1
Sb5 0.831 0.169 0.000 1
Se1 0.000 0.000 0.500 1
```

Results
E_form (uncorrected) = -123.7 kJ per mole of atoms
Crystal system = monoclinic
Symmetry = C2/m


HoTc2Ge3 after structural relaxation. Source: Alexandria, functional PBE.

```
data_HoTc2Ge3
_symmetry_space_group_name_H-M 'P 1'
_symmetry_Int_Tables_number 1
_cell_length_a 6.052
_cell_length_b 6.052
_cell_length_c 5.919
_cell_angle_alpha 90.00
_cell_angle_beta 90.00
_cell_angle_gamma 78.53
loop_
_symmetry_equiv_pos_as_xyz
'x,y,z'
loop_
_atom_site_label
_atom_site_fract_x
_atom_site_fract_y
_atom_site_fract_z
_atom_site_occupancy
Ho1 0.136 0.864 0.750 1
Ho2 0.864 0.136 0.250 1
Tc1 0.284 0.284 0.000 1
Tc2 0.284 0.284 0.500 1
Tc3 0.716 0.716 0.000 1
Tc4 0.716 0.716 0.500 1
Ge1 0.057 0.627 0.250 1
Ge2 0.373 0.943 0.250 1
Ge3 0.493 0.507 0.250 1
Ge4 0.507 0.493 0.750 1
Ge5 0.627 0.057 0.750 1
Ge6 0.943 0.373 0.750 1
```

Results
Crystal system = orthorhombic
Symmetry = Cmcm
Energy relative to the lowest polymorph listed for this composition = 0.36 eV/f.u.
Formation energy from the elements = -27.9 kJ per mole of atoms


LiNi3Rh after structural relaxation. Source: Alexandria, functional PBE.

```
data_LiNi3Rh
_symmetry_space_group_name_H-M 'P 1'
_symmetry_Int_Tables_number 1
_cell_length_a 3.900
_cell_length_b 3.900
_cell_length_c 3.900
_cell_angle_alpha 90.00
_cell_angle_beta 90.00
_cell_angle_gamma 90.00
loop_
_symmetry_equiv_pos_as_xyz
'x,y,z'
loop_
_atom_site_label
_atom_site_fract_x
_atom_site_fract_y
_atom_site_fract_z
_atom_site_occupancy
Li1 0.000 0.000 0.000 1
Ni1 0.000 0.000 0.500 1
Ni2 0.000 0.500 0.000 1
Ni3 0.500 0.000 0.000 1
Rh1 0.500 0.500 0.500 1
```

Results
Crystal system = cubic
Symmetry = Pm-3m
Energy relative to the lowest polymorph listed for this composition = 3.12 eV/f.u.
Formation energy from the elements = 69.2 kJ per mole of atoms